Record 1
Compound: TbMg9Pt2
Source: the Alexandria database
Functional: PBE-GGA
Structure: optimized geometry

The structure in POSCAR format:
```
TbMg9Pt2
1.0
-5.811 5.811 3.744
5.811 -5.811 3.744
5.811 5.811 -3.744
Tb Mg Pt
2 18 4
Cartesian
5.811 2.905 0.936
0.000 2.905 2.808
5.811 -2.905 2.808
4.397 -0.621 1.406
7.225 -0.621 1.406
2.285 1.491 0.465
9.337 1.491 0.465
4.397 5.190 -1.406
1.414 -0.621 2.337
2.285 4.319 0.465
3.526 -1.491 4.209
2.285 7.302 -0.465
3.526 1.491 3.278
4.397 6.432 1.406
1.414 0.621 5.150
-3.526 4.319 3.278
3.526 4.319 3.278
-1.414 6.432 2.337
1.414 6.432 2.337
0.000 8.716 0.936
0.000 0.000 0.000
2.905 2.905 -1.872
2.905 -2.905 1.872
0.000 5.811 0.000
```

Output
Space group: I4_1/amd, No. 141
Total DFT energy (no corrections), eV/atom: -2.9471

Record 2
Compound: TbMgPt2
Source: the Alexandria database
Functional: PBE-GGA
Structure: optimized geometry

The structure in POSCAR format:
```
TbMgPt2
1.0
4.681 0.000 0.000
0.000 4.681 0.000
0.000 0.000 3.483
Tb Mg Pt
1 1 2
Cartesian
0.000 0.000 0.000
2.340 2.340 0.000
0.000 2.340 1.741
2.340 0.000 1.741
```

Output
Space group: P4/mmm, No. 123
Total DFT energy (no corrections), eV/atom: -5.5717

Record 3
Compound: Tb2Mg2Pt15
Source: the Alexandria database
Functional: PBE-GGA
Structure: optimized geometry

The structure in POSCAR format:
```
Tb2Mg2Pt15
1.0
4.613 2.663 4.554
-4.613 2.663 4.554
0.000 -5.326 4.554
Tb Mg Pt
2 2 15
Cartesian
0.000 0.000 1.982
0.000 0.000 11.678
0.000 0.000 5.435
0.000 0.000 8.226
-2.306 -1.332 4.554
0.000 -2.682 4.432
-2.323 1.341 4.432
-1.451 -2.513 6.830
-2.902 0.000 6.830
-2.323 -1.341 9.229
-2.306 1.332 9.107
1.451 -2.513 6.830
0.000 2.663 4.554
-1.451 2.513 6.830
2.323 1.341 4.432
2.902 0.000 6.830
1.451 2.513 6.830
2.323 -1.341 9.229
0.000 2.682 9.229
```

Output
Space group: R-3m, No. 166
Total DFT energy (no corrections), eV/atom: -6.0180

Record 4
Compound: TbMg3Pt2
Source: the Alexandria database
Functional: PBE-GGA
Structure: optimized geometry

The structure in POSCAR format:
```
TbMg3Pt2
1.0
-2.001 4.595 6.771
2.001 -4.595 6.771
2.001 4.595 -6.771
Tb Mg Pt
2 6 4
Cartesian
0.000 0.000 1.763
0.000 0.000 11.779
2.001 2.805 -2.273
0.000 3.169 0.000
2.001 2.805 2.273
0.000 1.790 4.498
0.000 6.022 0.000
0.000 1.790 9.044
2.001 1.388 0.000
2.001 0.000 4.035
0.000 4.595 2.736
0.000 3.207 6.771
```

Output
Space group: Immm, No. 71
Total DFT energy (no corrections), eV/atom: -4.3541

Record 5
Compound: Tb3MgPt8
Source: the Alexandria database
Functional: PBE-GGA
Structure: optimized geometry

The structure in POSCAR format:
```
Tb3MgPt8
1.0
2.708 1.564 8.838
-2.708 1.564 8.838
0.000 -3.127 8.838
Tb Mg Pt
3 1 8
Cartesian
0.000 0.000 0.000
0.000 0.000 3.386
0.000 0.000 16.338
0.000 0.000 13.065
0.000 -1.573 6.024
-1.362 0.786 6.024
-1.353 -0.781 10.439
0.000 0.000 8.235
1.353 -0.781 10.439
0.000 1.562 10.439
1.362 0.786 6.024
0.000 0.000 21.497
```

Output
Space group: R3m, No. 160
Total DFT energy (no corrections), eV/atom: -6.3464

Record 6
Compound: TbMg3Pt
Source: the Alexandria database
Functional: PBE-GGA
Structure: optimized geometry

The structure in POSCAR format:
```
TbMg3Pt
1.0
5.478 0.000 0.000
0.000 5.817 0.000
-2.255 0.000 7.058
Tb Mg Pt
2 6 2
Cartesian
-0.297 1.454 2.802
3.521 4.362 4.256
-1.879 1.454 6.341
0.918 5.815 5.608
0.918 2.910 5.608
2.305 0.002 1.450
2.305 2.906 1.450
5.103 4.362 0.717
0.703 4.362 3.271
2.521 1.454 3.787
```

Output
Space group: P2_1/m, No. 11
Total DFT energy (no corrections), eV/atom: -3.6342

Record 7
Compound: TbMg5Pt6
Source: the Alexandria database
Functional: PBE-GGA
Structure: optimized geometry

The structure in POSCAR format:
```
TbMg5Pt6
1.0
4.541 0.000 0.000
0.000 6.620 0.000
-1.641 0.000 6.776
Tb Mg Pt
1 5 6
Cartesian
0.000 0.000 0.000
0.000 3.310 0.000
0.442 0.000 4.458
0.423 3.310 4.536
2.457 0.000 2.318
2.476 3.310 2.240
0.210 1.718 2.310
0.210 4.902 2.310
2.270 1.751 0.000
2.270 4.869 0.000
2.689 1.718 4.466
2.689 4.902 4.466
```

Output
Space group: P2/m, No. 10
Total DFT energy (no corrections), eV/atom: -4.9730

Record 8
Compound: TbMg2Pt2
Source: the Alexandria database
Functional: PBE-GGA
Structure: optimized geometry

The structure in POSCAR format:
```
TbMg2Pt2
1.0
1.996 -6.357 0.000
1.996 6.357 0.000
0.000 0.000 8.119
Tb Mg Pt
2 4 4
Cartesian
1.996 5.148 4.060
1.996 -5.148 0.000
1.996 4.070 0.892
1.996 1.579 2.864
1.996 -1.579 6.924
1.996 -4.070 4.952
1.996 2.991 6.611
1.996 0.493 5.362
1.996 -0.493 1.302
1.996 -2.991 2.551
```

Output
Space group: Cmc2_1, No. 36
Total DFT energy (no corrections), eV/atom: -4.8504

Record 9
Compound: TbMg11Pt
Source: the Alexandria database
Functional: PBE-GGA
Structure: optimized geometry

The structure in POSCAR format:
```
TbMg11Pt
1.0
2.813 -7.179 0.000
2.813 7.179 0.000
-2.685 0.000 7.147
Tb Mg Pt
1 11 1
Cartesian
0.000 0.000 0.000
-1.342 0.000 3.573
1.407 3.589 0.000
0.116 2.402 2.578
0.172 1.459 5.589
0.116 -2.402 2.578
2.770 1.459 1.558
1.407 -3.589 0.000
0.172 -1.459 5.589
2.826 2.402 4.568
2.770 -1.459 1.558
2.826 -2.402 4.568
1.471 0.000 3.573
```

Output
Space group: C2/m, No. 12
Total DFT energy (no corrections), eV/atom: -2.3572

Record 10
Compound: TbMg8Pt2
Source: the Alexandria database
Functional: PBE-GGA
Structure: optimized geometry

The structure in POSCAR format:
```
TbMg8Pt2
1.0
4.098 -6.062 0.000
4.098 6.062 0.000
-1.241 0.000 5.053
Tb Mg Pt
1 8 2
Cartesian
0.000 0.000 0.000
0.915 1.575 2.914
4.098 2.812 0.000
0.915 -1.575 2.914
3.075 0.000 1.126
3.880 0.000 3.927
6.039 1.575 2.140
4.098 -2.812 0.000
6.039 -1.575 2.140
3.477 2.309 2.527
3.477 -2.309 2.527
```

Output
Space group: C2/m, No. 12
Total DFT energy (no corrections), eV/atom: -3.0079

Calculated ΔH_f (0 K) (eV per atom), listed in the same order as above: -0.36; -1.00; -0.59; -0.77; -1.03; -0.54; -0.90; -0.87; -0.19; -0.33
Calculated mass density (g cm⁻³), listed in the same order as above: 5.0; 12.5; 16.3; 8.3; 15.2; 6.3; 11.8; 9.6; 3.6; 4.9
Calculated M_tot (μB/cell), listed in the same order as above: 0.00; 0.00; 0.00; 0.00; 0.00; 0.00; 0.00; 0.00; 0.00; 0.00